No. 1
Density functional theory data (PBE-GGA) for crystalline MgBeCu2 at its relaxed geometry.

Geometry as POSCAR:
```
MgBeCu2
1.0
1.266 -2.952 2.611
-1.986 -3.629 0.141
1.824 -3.415 -1.464
Be Mg Cu
1 1 2
direct
0.000 0.000 0.000 Be
0.500 0.500 0.500 Mg
0.250 0.250 0.250 Cu
0.750 0.750 0.750 Cu
```

Summary:
- space-group type = Fm-3m (225)
- size of the total moment (Bohr magnetons per cell) = 0.00
- relative energy among the computed polymorphs (kJ per mole of atoms) = 9.5
- ΔE_f (eV/atom) = 0.030

---

No. 2
Density functional theory data (PBE-GGA) for crystalline MgBeCu2 at its relaxed geometry.

Geometry as POSCAR:
```
MgBeCu2
1.0
-3.486 -1.893 0.273
0.875 -1.290 2.232
-1.299 2.942 3.806
Be Mg Cu
1 1 2
direct
0.500 0.913 0.787 Be
0.000 0.549 0.518 Mg
0.000 0.824 0.991 Cu
0.500 0.214 0.204 Cu
```

Summary:
- space-group type = Pm (6)
- size of the total moment (Bohr magnetons per cell) = 0.00
- relative energy among the computed polymorphs (kJ per mole of atoms) = 13.4
- ΔE_f (eV/atom) = 0.070

---

No. 3
Density functional theory data (PBE-GGA) for crystalline MgBe2Cu2 at its relaxed geometry.

Geometry as POSCAR:
```
MgBe2Cu2
1.0
-5.378 2.459 3.020
-3.161 -5.764 -0.936
0.915 -0.884 2.350
Be Mg Cu
4 2 4
direct
0.153 0.653 0.500 Be
0.653 0.847 0.500 Be
0.847 0.347 0.500 Be
0.347 0.153 0.500 Be
0.000 0.000 0.000 Mg
0.500 0.500 0.000 Mg
0.362 0.862 0.000 Cu
0.862 0.638 0.000 Cu
0.638 0.138 0.000 Cu
0.138 0.362 0.000 Cu
```

Summary:
- space-group type = P4/mbm (127)
- size of the total moment (Bohr magnetons per cell) = 0.00
- relative energy among the computed polymorphs (kJ per mole of atoms) = 6.4
- ΔE_f (eV/atom) = 0.014

---

No. 4
Density functional theory data (PBE-GGA) for crystalline MgBe6Cu6 at its relaxed geometry.

Geometry as POSCAR:
```
MgBe6Cu6
1.0
4.117 0.000 1.646
2.043 5.560 0.861
-0.005 -0.092 5.985
Mg Be Cu
1 6 6
direct
0.000 0.000 0.000 Mg
0.000 0.500 0.000 Be
0.500 0.500 0.000 Be
0.000 0.000 0.500 Be
0.500 0.000 0.500 Be
0.500 0.766 0.234 Be
0.500 0.234 0.766 Be
0.347 0.653 0.653 Cu
0.653 0.347 0.347 Cu
0.000 0.347 0.653 Cu
0.000 0.653 0.347 Cu
0.309 0.191 0.191 Cu
0.691 0.809 0.809 Cu
```

Summary:
- space-group type = Immm (71)
- size of the total moment (Bohr magnetons per cell) = 0.00
- ΔE_f (eV/atom) = -0.106

---

No. 5
Density functional theory data (PBE-GGA) for crystalline MgBe5Cu7 at its relaxed geometry.

Geometry as POSCAR:
```
MgBe5Cu7
1.0
4.168 0.000 1.712
2.081 5.619 0.864
-0.051 0.027 6.054
Mg Be Cu
1 5 7
direct
0.000 0.000 0.000 Mg
0.500 0.996 0.503 Be
0.001 0.996 0.503 Be
0.500 0.503 0.996 Be
0.001 0.503 0.996 Be
0.730 0.770 0.770 Be
0.649 0.351 0.351 Cu
0.343 0.657 0.657 Cu
0.994 0.353 0.659 Cu
0.994 0.659 0.353 Cu
0.276 0.224 0.224 Cu
0.506 0.790 0.198 Cu
0.506 0.198 0.790 Cu
```

Summary:
- space-group type = Imm2 (44)
- size of the total moment (Bohr magnetons per cell) = 0.00
- ΔE_f (eV/atom) = -0.088

---

No. 6
Density functional theory data (PBE-GGA) for crystalline Mg2Be2Cu at its relaxed geometry.

Geometry as POSCAR:
```
Mg2Be2Cu
1.0
7.406 0.000 0.000
0.000 7.406 0.000
0.000 0.000 2.746
Be Mg Cu
4 4 2
direct
0.103 0.603 0.500 Be
0.603 0.897 0.500 Be
0.897 0.397 0.500 Be
0.397 0.103 0.500 Be
0.314 0.814 0.000 Mg
0.814 0.686 0.000 Mg
0.686 0.186 0.000 Mg
0.186 0.314 0.000 Mg
0.000 0.000 0.000 Cu
0.500 0.500 0.000 Cu
```

Summary:
- space-group type = P4/mbm (127)
- size of the total moment (Bohr magnetons per cell) = 0.00
- relative energy among the computed polymorphs (kJ per mole of atoms) = 28.4
- ΔE_f (eV/atom) = 0.477

---

No. 7
Density functional theory data (PBE-GGA) for crystalline MgBe2Cu at its relaxed geometry.

Geometry as POSCAR:
```
MgBe2Cu
1.0
-3.222 0.325 -1.993
-2.226 -3.034 -0.543
-3.868 0.035 2.737
Be Mg Cu
2 1 1
direct
0.057 0.057 0.831 Be
0.443 0.443 0.669 Be
0.250 0.250 0.250 Mg
0.750 0.750 0.750 Cu
```

Summary:
- space-group type = C2/m (12)
- size of the total moment (Bohr magnetons per cell) = 0.00
- ΔE_f (eV/atom) = 0.086

---

No. 8
Density functional theory data (PBE-GGA) for crystalline MgBeCu at its relaxed geometry.

Geometry as POSCAR:
```
MgBeCu
1.0
-2.443 -3.092 0.985
0.942 -2.416 3.126
-2.192 0.152 3.417
Be Mg Cu
1 1 1
direct
0.500 0.500 0.500 Be
0.000 0.000 0.000 Mg
0.750 0.750 0.750 Cu
```

Summary:
- space-group type = F-43m (216)
- size of the total moment (Bohr magnetons per cell) = 0.00
- relative energy among the computed polymorphs (kJ per mole of atoms) = 44.8
- ΔE_f (eV/atom) = 0.364

---

No. 9
Density functional theory data (PBE-GGA) for crystalline MgBeCu at its relaxed geometry.

Geometry as POSCAR:
```
MgBeCu
1.0
-1.853 1.487 1.413
1.425 -2.000 1.269
4.423 4.098 1.490
Be Mg Cu
1 1 1
direct
0.000 0.000 0.028 Be
0.333 0.667 0.670 Mg
0.667 0.333 0.302 Cu
```

Summary:
- space-group type = P3m1 (156)
- size of the total moment (Bohr magnetons per cell) = 0.00
- relative energy among the computed polymorphs (kJ per mole of atoms) = 36.1
- ΔE_f (eV/atom) = 0.274

---

No. 10
Density functional theory data (PBE-GGA) for crystalline MgBe4Cu at its relaxed geometry.

Geometry as POSCAR:
```
MgBe4Cu
1.0
-2.553 1.002 -3.468
-1.551 -3.217 -2.606
-4.304 -1.010 0.058
Be Cu Mg
4 1 1
direct
0.129 0.624 0.624 Be
0.624 0.624 0.624 Be
0.624 0.129 0.624 Be
0.624 0.624 0.129 Be
0.250 0.250 0.250 Cu
0.000 0.000 0.000 Mg
```

Summary:
- space-group type = F-43m (216)
- size of the total moment (Bohr magnetons per cell) = 0.00
- ΔE_f (eV/atom) = -0.036

---

No. 11
Density functional theory data (PBE-GGA) for crystalline MgBe2Cu at its relaxed geometry.

Geometry as POSCAR:
```
MgBe2Cu
1.0
8.222 -0.002 -0.001
7.793 2.621 -0.001
7.793 1.275 2.291
Be Mg Cu
2 1 1
direct
0.988 0.988 0.988 Be
0.252 0.252 0.252 Be
0.749 0.749 0.749 Mg
0.511 0.511 0.511 Cu
```

Summary:
- space-group type = R3m (160)
- size of the total moment (Bohr magnetons per cell) = 0.00
- ΔE_f (eV/atom) = 0.337

---

No. 12
Density functional theory data (PBE-GGA) for crystalline Mg2BeCu at its relaxed geometry.

Geometry as POSCAR:
```
Mg2BeCu
1.0
-4.732 -5.087 -1.378
-0.992 -0.959 6.947
-4.828 -1.187 2.758
Be Mg Cu
2 4 2
direct
0.500 0.500 0.000 Be
0.250 0.750 0.500 Be
0.623 0.125 0.250 Mg
0.127 0.625 0.250 Mg
0.375 0.377 0.750 Mg
0.875 0.873 0.750 Mg
0.000 0.000 0.000 Cu
0.750 0.250 0.500 Cu
```

Summary:
- space-group type = I-42d (122)
- size of the total moment (Bohr magnetons per cell) = 0.00
- ΔE_f (eV/atom) = 0.502

---

No. 13
Density functional theory data (PBE-GGA) for crystalline MgBe3Cu at its relaxed geometry.

Geometry as POSCAR:
```
MgBe3Cu
1.0
4.356 0.000 0.000
0.000 4.356 0.000
0.000 0.000 4.356
Be Mg Cu
3 1 1
direct
0.000 0.500 0.000 Be
0.000 0.000 0.500 Be
0.500 0.000 0.000 Be
0.000 0.000 0.000 Mg
0.500 0.500 0.500 Cu
```

Summary:
- space-group type = Pm-3m (221)
- size of the total moment (Bohr magnetons per cell) = 0.00
- relative energy among the computed polymorphs (kJ per mole of atoms) = 110.8
- ΔE_f (eV/atom) = 1.627

---

No. 14
Density functional theory data (PBE-GGA) for crystalline MgBe2Cu at its relaxed geometry.

Geometry as POSCAR:
```
MgBe2Cu
1.0
4.737 0.043 0.044
2.015 4.287 -0.044
-2.944 -2.839 2.391
Be Mg Cu
2 1 1
direct
0.023 0.023 0.000 Be
0.477 0.477 0.000 Be
0.750 0.250 0.500 Mg
0.250 0.750 0.500 Cu
```

Summary:
- space-group type = Immm (71)
- size of the total moment (Bohr magnetons per cell) = 0.00
- ΔE_f (eV/atom) = 0.183

---

No. 15
Density functional theory data (PBE-GGA) for crystalline Mg3BeCu at its relaxed geometry.

Geometry as POSCAR:
```
Mg3BeCu
1.0
-2.134 -3.740 1.827
3.682 -2.654 -1.133
1.942 0.922 4.154
Be Mg Cu
1 3 1
direct
0.000 0.000 0.000 Be
0.000 0.500 0.000 Mg
0.000 0.000 0.500 Mg
0.500 0.000 0.000 Mg
0.500 0.500 0.500 Cu
```

Summary:
- space-group type = Pm-3m (221)
- size of the total moment (Bohr magnetons per cell) = 0.00
- relative energy among the computed polymorphs (kJ per mole of atoms) = 0.0
- ΔE_f (eV/atom) = 0.471

---

No. 16
Density functional theory data (PBE-GGA) for crystalline MgBe2Cu at its relaxed geometry.

Geometry as POSCAR:
```
MgBe2Cu
1.0
-2.513 1.921 -1.989
-0.145 -1.996 -1.744
-3.668 -3.018 1.720
Be Mg Cu
2 1 1
direct
0.000 0.167 0.039 Be
0.500 0.061 0.257 Be
0.500 0.800 0.777 Mg
0.000 0.473 0.428 Cu
```

Summary:
- space-group type = Pm (6)
- size of the total moment (Bohr magnetons per cell) = 0.00
- ΔE_f (eV/atom) = 0.147

---

No. 17
Density functional theory data (PBE-GGA) for crystalline MgBe2Cu2 at its relaxed geometry.

Geometry as POSCAR:
```
MgBe2Cu2
1.0
3.213 0.000 0.000
0.000 3.213 0.000
1.607 1.607 6.036
Be Mg Cu
2 1 2
direct
0.750 0.250 0.500 Be
0.250 0.750 0.500 Be
0.000 0.000 0.000 Mg
0.387 0.387 0.226 Cu
0.613 0.613 0.774 Cu
```

Summary:
- space-group type = I4/mmm (139)
- size of the total moment (Bohr magnetons per cell) = 0.00
- relative energy among the computed polymorphs (kJ per mole of atoms) = 14.5
- ΔE_f (eV/atom) = 0.099

---

No. 18
Density functional theory data (PBE-GGA) for crystalline MgBe2Cu at its relaxed geometry.

Geometry as POSCAR:
```
MgBe2Cu
1.0
-0.552 -4.605 -0.049
-0.056 -3.662 -2.845
3.397 -2.158 -0.124
Be Mg Cu
2 1 1
direct
0.974 0.974 0.027 Be
0.259 0.259 0.241 Be
0.746 0.746 0.753 Mg
0.521 0.521 0.478 Cu
```

Summary:
- space-group type = Cm (8)
- size of the total moment (Bohr magnetons per cell) = 0.00
- ΔE_f (eV/atom) = 0.160

---

No. 19
Density functional theory data (PBE-GGA) for crystalline NdMgBeCu at its relaxed geometry.

Geometry as POSCAR:
```
NdMgBeCu
1.0
-1.310 0.507 -4.538
-4.608 -0.004 -1.157
-2.092 4.017 -1.434
Be Mg Nd Cu
1 1 1 1
direct
0.750 0.750 0.750 Be
0.500 0.500 0.500 Mg
0.000 0.000 0.000 Nd
0.250 0.250 0.250 Cu
```

Summary:
- space-group type = F-43m (216)
- size of the total moment (Bohr magnetons per cell) = 0.00
- ΔE_f (eV/atom) = -0.004

---

No. 20
Density functional theory data (PBE-GGA) for crystalline MgBeCuOs2 at its relaxed geometry.

Geometry as POSCAR:
```
MgBeCuOs2
1.0
4.544 0.000 0.000
0.000 4.205 0.000
0.000 0.000 4.544
Be Mg Os Cu
1 1 2 1
direct
0.500 0.500 0.500 Be
0.000 0.000 0.000 Mg
0.000 0.000 0.500 Os
0.500 0.000 0.000 Os
0.000 0.500 0.000 Cu
```

Summary:
- space-group type = P4/mmm (123)
- size of the total moment (Bohr magnetons per cell) = 2.38
- ΔE_f (eV/atom) = 2.202

---

No. 21
Density functional theory data (PBE-GGA) for crystalline MgBeCuP2 at its relaxed geometry.

Geometry as POSCAR:
```
MgBeCuP2
1.0
4.698 0.000 0.000
0.000 4.569 0.000
0.000 0.000 4.698
P Mg Cu Be
2 1 1 1
direct
0.000 0.000 0.500 P
0.500 0.000 0.000 P
0.000 0.000 0.000 Mg
0.500 0.500 0.500 Cu
0.000 0.500 0.000 Be
```

Summary:
- space-group type = P4/mmm (123)
- size of the total moment (Bohr magnetons per cell) = 0.00
- ΔE_f (eV/atom) = 1.324

---

No. 22
Density functional theory data (PBE-GGA) for crystalline Mg2Be2CuPd5 at its relaxed geometry.

Geometry as POSCAR:
```
Mg2Be2CuPd5
1.0
3.139 0.000 0.000
0.000 9.495 0.000
0.000 0.000 9.495
Mg Be Cu Pd
4 4 2 10
direct
0.000 0.675 0.175 Mg
0.000 0.325 0.825 Mg
0.000 0.175 0.325 Mg
0.000 0.825 0.675 Mg
0.000 0.128 0.628 Be
0.000 0.872 0.372 Be
0.000 0.628 0.872 Be
0.000 0.372 0.128 Be
0.000 0.000 0.000 Cu
0.000 0.500 0.500 Cu
0.500 0.208 0.071 Pd
0.500 0.792 0.929 Pd
0.500 0.071 0.792 Pd
0.500 0.708 0.429 Pd
0.500 0.929 0.208 Pd
0.500 0.292 0.571 Pd
0.500 0.571 0.708 Pd
0.500 0.429 0.292 Pd
0.500 0.500 0.000 Pd
0.500 0.000 0.500 Pd
```

Summary:
- space-group type = P4/mbm (127)
- size of the total moment (Bohr magnetons per cell) = 0.00
- ΔE_f (eV/atom) = -0.551

---

No. 23
Density functional theory data (PBE-GGA) for crystalline PmMgBeCu at its relaxed geometry.

Geometry as POSCAR:
```
PmMgBeCu
1.0
-2.430 -0.857 -3.961
2.267 -1.374 -3.912
-0.471 -4.432 -1.571
Be Mg Cu Pm
1 1 1 1
direct
0.250 0.250 0.250 Be
0.000 0.000 0.000 Mg
0.750 0.750 0.750 Cu
0.500 0.500 0.500 Pm
```

Summary:
- space-group type = F-43m (216)
- size of the total moment (Bohr magnetons per cell) = 0.00
- ΔE_f (eV/atom) = -0.016

---

No. 24
Density functional theory data (PBE-GGA) for crystalline PrMgBeCu at its relaxed geometry.

Geometry as POSCAR:
```
PrMgBeCu
1.0
-3.676 -1.326 -2.748
-3.704 -2.323 1.924
-4.223 2.188 0.441
Pr Be Mg Cu
1 1 1 1
direct
0.500 0.500 0.500 Pr
0.250 0.250 0.250 Be
0.000 0.000 0.000 Mg
0.750 0.750 0.750 Cu
```

Summary:
- space-group type = F-43m (216)
- size of the total moment (Bohr magnetons per cell) = 0.00
- ΔE_f (eV/atom) = 0.008

---

No. 25
Density functional theory data (PBE-GGA) for crystalline MgBe2CuPt at its relaxed geometry.

Geometry as POSCAR:
```
MgBe2CuPt
1.0
4.224 0.000 0.000
0.000 4.815 0.000
0.000 0.000 4.224
Be Mg Cu Pt
2 1 1 1
direct
0.000 0.000 0.500 Be
0.500 0.000 0.000 Be
0.500 0.500 0.500 Mg
0.000 0.500 0.000 Cu
0.000 0.000 0.000 Pt
```

Summary:
- space-group type = P4/mmm (123)
- size of the total moment (Bohr magnetons per cell) = 0.00
- ΔE_f (eV/atom) = 0.190

---

No. 26
Density functional theory data (PBE-GGA) for crystalline Mg2Be2CuPt5 at its relaxed geometry.

Geometry as POSCAR:
```
Mg2Be2CuPt5
1.0
3.276 0.000 0.000
0.000 9.300 0.000
0.000 0.000 9.300
Mg Be Cu Pt
4 4 2 10
direct
0.000 0.674 0.174 Mg
0.000 0.326 0.826 Mg
0.000 0.174 0.326 Mg
0.000 0.826 0.674 Mg
0.000 0.127 0.627 Be
0.000 0.873 0.373 Be
0.000 0.627 0.873 Be
0.000 0.373 0.127 Be
0.000 0.000 0.000 Cu
0.000 0.500 0.500 Cu
0.500 0.208 0.072 Pt
0.500 0.792 0.928 Pt
0.500 0.072 0.792 Pt
0.500 0.708 0.428 Pt
0.500 0.928 0.208 Pt
0.500 0.292 0.572 Pt
0.500 0.572 0.708 Pt
0.500 0.428 0.292 Pt
0.500 0.500 0.000 Pt
0.500 0.000 0.500 Pt
```

Summary:
- space-group type = P4/mbm (127)
- size of the total moment (Bohr magnetons per cell) = 0.00
- ΔE_f (eV/atom) = -0.699